No. 1
Entry from Alexandria: an optimized crystal structure of VSn (PBE).

Cell: 4.520 3.444 9.164 Å, 90.00 90.00 90.00°
Fractional coordinates of all 8 atoms:
Sn  0.000  0.250  0.863
V  0.500  0.750  0.897
V  0.000  0.750  0.603
V  0.000  0.250  0.397
Sn  0.500  0.750  0.363
Sn  0.000  0.750  0.137
V  0.500  0.250  0.103
Sn  0.500  0.250  0.637

Calculated values
Its crystal system is orthorhombic. The formation energy is 0.36 eV per formula unit. Its space group is No. 74.

=====

No. 2
Entry from Alexandria: an optimized crystal structure of BeZn2Pt (PBE).

Cell: 4.413 5.157 2.731 Å, 75.32 88.47 114.88°
Fractional coordinates of all 4 atoms:
Zn  0.000  0.000  0.000
Zn  0.500  0.000  0.500
Be  0.000  0.500  0.500
Pt  0.500  0.500  0.000

Calculated values
Its crystal system is monoclinic. The formation energy is -0.74 eV per formula unit. Its space group is No. 12.

=====

No. 3
Entry from Alexandria: an optimized crystal structure of NaAlFe3 (PBE).

Cell: 4.540 4.540 4.540 Å, 90.00 90.00 90.00°
Site moments in Bohr magnetons follow the coordinates.
Fractional coordinates of all 5 atoms:
Na  0.500  0.500  0.500  -0.02
Fe  0.500  0.000  0.000  2.47
Fe  0.000  0.500  0.000  2.83
Fe  0.000  0.000  0.500  2.80
Al  0.000  0.000  0.000  -0.10

Calculated values
Its crystal system is cubic. As for the energy relative to the lowest polymorph listed for this composition: 0.0000 eV per atom. The formation energy is 5.27 eV per formula unit. Its space group is No. 221.

=====

No. 4
Entry from Alexandria: an optimized crystal structure of NiHgPb2 (PBE).

Cell: 5.161 5.161 5.161 Å, 60.00 60.00 60.00°
Fractional coordinates of all 4 atoms:
Ni  0.750  0.750  0.750
Hg  0.500  0.500  0.500
Pb  0.000  0.000  0.000
Pb  0.250  0.250  0.250

Calculated values
Its crystal system is cubic. The formation energy is 1.78 eV per formula unit. Its space group is No. 216.

=====

No. 5
Entry from Alexandria: an optimized crystal structure of ScTeS2Cl (PBE).

Cell: 5.051 5.051 4.748 Å, 90.00 90.00 90.00°
Fractional coordinates of all 5 atoms:
S  0.000  0.500  0.000
Cl  0.000  0.000  0.500
Sc  0.000  0.000  0.000
Te  0.500  0.500  0.500
S  0.500  0.000  0.000

Calculated values
Its crystal system is tetragonal. As for the energy relative to the lowest polymorph listed for this composition: 0.0000 eV per atom. Its space group is No. 123.

=====

No. 6
Entry from Alexandria: an optimized crystal structure of NdGdGe2 (PBE).

Cell: 4.735 4.735 5.992 Å, 66.73 66.73 60.00°
Site moments in Bohr magnetons follow the coordinates.
Fractional coordinates of all 4 atoms:
Ge  0.255  0.255  0.235  -0.02
Nd  0.500  0.500  0.500  0.02
Gd  0.000  0.000  0.000  7.01
Ge  0.745  0.745  0.765  -0.02

Calculated values
Its crystal system is trigonal. As for the energy relative to the lowest polymorph listed for this composition: 0.0000 eV per atom. The formation energy is -2.67 eV per formula unit. Its space group is No. 166.

=====

No. 7
Entry from Alexandria: an optimized crystal structure of Li2MgTl6 (PBE).

Cell: 4.793 7.006 8.384 Å, 114.70 105.79 90.00°
Fractional coordinates of all 9 atoms:
Li  0.330  0.332  0.665
Li  0.670  0.668  0.335
Tl  0.500  0.734  0.000
Tl  0.173  0.427  0.342
Tl  0.173  0.915  0.342
Tl  0.827  0.573  0.658
Tl  0.500  0.266  0.000
Mg  0.000  0.000  0.000
Tl  0.827  0.085  0.658

Calculated values
Its crystal system is monoclinic. As for the energy relative to the lowest polymorph listed for this composition: 0.0841 eV per atom. The formation energy is 0.11 eV per formula unit. Its space group is No. 12.

=====

No. 8
Entry from Alexandria: an optimized crystal structure of ZrMoP2 (PBE).

Cell: 4.436 4.436 4.436 Å, 60.00 60.00 60.00°
Fractional coordinates of all 4 atoms:
Zr  0.000  0.000  0.000
Mo  0.500  0.500  0.500
P  0.750  0.750  0.750
P  0.250  0.250  0.250

Calculated values
Its crystal system is cubic. As for the energy relative to the lowest polymorph listed for this composition: 0.2909 eV per atom. The formation energy is -2.55 eV per formula unit. Its space group is No. 225.

=====

No. 9
Entry from Alexandria: an optimized crystal structure of K2LiCd (PBE).

Cell: 12.047 12.047 12.047 Å, 19.71 19.71 19.71°
Fractional coordinates of all 4 atoms:
K  0.002  0.002  0.002
K  0.498  0.498  0.498
Cd  0.750  0.750  0.750
Li  0.250  0.250  0.250

Calculated values
Its crystal system is trigonal. The formation energy is 0.63 eV per formula unit. Its space group is No. 166.

=====

No. 10
Entry from Alexandria: an optimized crystal structure of BaPr2Ru (PBE).

Cell: 4.239 4.239 10.222 Å, 78.03 78.03 60.00°
Fractional coordinates of all 4 atoms:
Ba  0.500  0.500  0.500
Pr  0.284  0.284  0.147
Ru  0.000  0.000  0.000
Pr  0.716  0.716  0.853

Calculated values
Its crystal system is trigonal. As for the energy relative to the lowest polymorph listed for this composition: 0.0077 eV per atom. The formation energy is -0.14 eV per formula unit. Its space group is No. 166.

=====

no.,uncorrected energy (eV/atom)
1,-6.3819
2,-3.2641
3,-5.0367
4,-2.9292
5,-4.5270
6,-7.6895
7,-2.1682
8,-8.1875
9,-1.0984
10,-5.2236